# NaLiCrO4

An optimized crystal structure of NaLiCrO4 (PBE with a Hubbard U, Alexandria).

Cell and atoms, written as CIF:
```
data_NaLiCrO4
_cell_length_a 5.227
_cell_length_b 5.227
_cell_length_c 7.991
_cell_angle_alpha 90.00
_cell_angle_beta 90.00
_cell_angle_gamma 90.00
_space_group_name_H-M_alt 'I -4'
_space_group_IT_number 82
loop_
_space_group_symop_operation_xyz
'x,y,z'
'y,-x,-z'
'-x,-y,z'
'-y,x,-z'
'x+1/2,y+1/2,z+1/2'
'y+1/2,-x+1/2,-z+1/2'
'-x+1/2,-y+1/2,z+1/2'
'-y+1/2,x+1/2,-z+1/2'
loop_
_atom_site_label
_atom_site_type_symbol
_atom_site_fract_x
_atom_site_fract_y
_atom_site_fract_z
Na1 Na 0.000 0.000 0.000
Li1 Li 0.000 0.000 0.500
Cr1 Cr 0.000 0.500 0.750
O1 O 0.153 0.288 0.630
```

Results
* crystal system: tetragonal
* raw total energy: -6.01 eV/atom